# NaLaPmTl

Crystalline NaLaPmTl at its relaxed geometry (PBE, Alexandria via LeMat-Bulk).

Cell lengths 7.921, 7.921, 7.921 Å; angles 90.00, 90.00, 90.00 degrees
Fractional coordinates of all 16 atoms:
Na 0.000 0.000 0.000
Na 0.000 0.500 0.500
Na 0.500 0.000 0.500
Na 0.500 0.500 0.000
La 0.250 0.250 0.750
La 0.250 0.750 0.250
La 0.750 0.250 0.250
La 0.750 0.750 0.750
Pm 0.250 0.250 0.250
Pm 0.250 0.750 0.750
Pm 0.750 0.250 0.750
Pm 0.750 0.750 0.250
Tl 0.000 0.000 0.500
Tl 0.000 0.500 0.000
Tl 0.500 0.000 0.000
Tl 0.500 0.500 0.500

Formation energy from the elements, eV per atom: -0.110
Crystal system: cubic

# Nb2Os2Pb

Crystalline Nb2Os2Pb at its relaxed geometry (PBE, Alexandria via LeMat-Bulk).

Cell lengths 7.755, 7.755, 3.059 Å; angles 90.00, 90.00, 90.00 degrees
Fractional coordinates of all 10 atoms:
Nb 0.155 0.345 0.000
Nb 0.345 0.845 0.000
Nb 0.655 0.155 0.000
Nb 0.845 0.655 0.000
Os 0.133 0.633 0.500
Os 0.367 0.133 0.500
Os 0.633 0.867 0.500
Os 0.867 0.367 0.500
Pb 0.000 0.000 0.500
Pb 0.500 0.500 0.500

Formation energy from the elements, eV per atom: 0.111
Crystal system: tetragonal

# RbIn3Cu

Crystalline RbIn3Cu at its relaxed geometry (PBE, Alexandria via LeMat-Bulk).

Cell lengths 5.318, 5.318, 5.318 Å; angles 90.00, 90.00, 90.00 degrees
Fractional coordinates of all 5 atoms:
Rb 0.000 0.000 0.000
In 0.000 0.500 0.500
In 0.500 0.000 0.500
In 0.500 0.500 0.000
Cu 0.500 0.500 0.500

Formation energy from the elements, eV per atom: 0.084
Crystal system: cubic

| no. | density (g cm⁻³) | Fermi-level density of states (states/eV/cell) |
| --- | --- | --- |
| 1 | 6.83 | 21.82 |
| 2 | 13.96 | 2.67 |
| 3 | 5.45 | 2.91 |